Material: Mn2TlTc
Method: DFT, PBE
State: relaxed

Properties
Energy of formation in eV/atom: 0.57

Cell lengths 2.9086, 2.9086, 26.3232 Å; angles 90.00, 90.00, 120.00 degrees
Last column: nearest neighbours and their distance in Å.
Atoms (fractional coordinates):
1 Mn 0.0000 0.0000 0.0000  3 Tc 2.50, 3 Mn 2.59
2 Mn 0.0000 0.0000 0.2584  3 Mn 2.59
3 Mn 0.3333 0.6667 0.6667  3 Tc 2.50, 3 Mn 2.59
4 Mn 0.3333 0.6667 0.9251  3 Mn 2.59
5 Mn 0.6667 0.3333 0.3333  3 Tc 2.50, 3 Mn 2.59
6 Mn 0.6667 0.3333 0.5918  3 Mn 2.59
7 Tl 0.0000 0.0000 0.4989  6 Tl 2.91, 3 Mn 2.97, 3 Tc 3.02
8 Tl 0.3333 0.6667 0.1656  6 Tl 2.91, 3 Mn 2.97, 3 Tc 3.02
9 Tl 0.6667 0.3333 0.8322  6 Tl 2.91, 3 Mn 2.97, 3 Tc 3.02
10 Tc 0.0000 0.0000 0.7371  3 Mn 2.50
11 Tc 0.3333 0.6667 0.4038  3 Mn 2.50
12 Tc 0.6667 0.3333 0.0704  3 Mn 2.50

---

Material: MnSi2HgMo
Method: DFT, PBE
State: relaxed

Properties
Formation energy (no corrections) in kJ/mol of formula units: 301.1

Cell lengths 4.3304, 4.3304, 4.7386 Å; angles 90.00, 90.00, 90.00 degrees
Last column: nearest neighbours and their distance in Å.
Atoms (fractional coordinates):
1 Mn 0.0000 0.0000 0.0000  4 Si 2.17, 2 Mo 2.37
2 Si 0.0000 0.5000 0.0000  2 Mn 2.17
3 Si 0.5000 0.0000 0.0000  2 Mn 2.17
4 Hg 0.5000 0.5000 0.5000  4 Mo 3.06, 8 Si 3.21
5 Mo 0.0000 0.0000 0.5000  2 Mn 2.37

---

Material: Tb2CeNd6Dy
Method: DFT, PBE
State: relaxed

Properties
Energy of formation in eV/atom: 0.24

Cell lengths 6.6819, 6.6819, 8.9003 Å; angles 101.72, 101.72, 63.68 degrees
Last column: nearest neighbours and their distance in Å.
Atoms (fractional coordinates):
1 Tb 0.0902 0.0902 0.1645  1 Tb 3.15, 4 Nd 3.22-3.51, 1 Dy 3.38
2 Tb 0.9098 0.9098 0.8355  1 Tb 3.15, 4 Nd 3.22-3.51, 1 Dy 3.38
3 Ce 0.5000 0.5000 0.0000  6 Nd 3.51-3.64, 4 Tb 3.86
4 Nd 0.0608 0.5920 0.2028  2 Tb 3.22-3.51, 1 Nd 3.31, 1 Dy 3.33, 1 Ce 3.51
5 Nd 0.3751 0.3751 0.5836  5 Nd 3.50-3.80, 1 Ce 3.64
6 Nd 0.4080 0.9392 0.7972  2 Tb 3.22-3.51, 1 Nd 3.31, 1 Dy 3.33, 1 Ce 3.51
7 Nd 0.5920 0.0608 0.2028  2 Tb 3.22-3.51, 1 Nd 3.31, 1 Dy 3.33, 1 Ce 3.51
8 Nd 0.6249 0.6249 0.4164  5 Nd 3.50-3.80, 1 Ce 3.64
9 Nd 0.9392 0.4080 0.7972  2 Tb 3.22-3.51, 1 Nd 3.31, 1 Dy 3.33, 1 Ce 3.51
10 Dy 0.0000 0.0000 0.5000  4 Nd 3.33, 2 Tb 3.38

---

Material: Ti4PtN
Method: DFT, PBE
State: relaxed

Properties
Formation energy (no corrections) in kJ/mol of formula units: -408.0

Cell lengths 4.2171, 7.7438, 5.8978 Å; angles 90.00, 90.00, 90.00 degrees
Last column: nearest neighbours and their distance in Å.
Atoms (fractional coordinates):
1 Ti 0.2500 0.0470 0.2151  1 N 1.97
2 Ti 0.2500 0.2500 0.7445  1 N 1.93
3 Ti 0.2500 0.4530 0.2151  1 N 1.97
4 Ti 0.2500 0.7500 0.5667  2 N 2.11
5 Ti 0.7500 0.2500 0.4333  2 N 2.11
6 Ti 0.7500 0.5470 0.7849  1 N 1.97
7 Ti 0.7500 0.7500 0.2555  1 N 1.93
8 Ti 0.7500 0.9530 0.7849  1 N 1.97
9 Pt 0.2500 0.7500 0.0132  5 Ti 2.55-2.63
10 Pt 0.7500 0.2500 0.9868  5 Ti 2.55-2.63
11 N 0.2500 0.2500 0.4175  5 Ti 1.93-2.11
12 N 0.7500 0.7500 0.5825  5 Ti 1.93-2.11

---

Material: Cd2AgAu2
Method: DFT, PBE
State: relaxed

Properties
E above lowest polymorph in meV per atom: 0
Energy of formation in eV/atom: -0.14

Cell lengths 5.6895, 5.6895, 7.6732 Å; angles 109.86, 109.86, 56.10 degrees
Last column: nearest neighbours and their distance in Å.
Atoms (fractional coordinates):
1 Cd 0.0380 0.3464 0.1474  3 Ag 2.92-3.02, 6 Au 2.93-3.04, 3 Cd 3.09
2 Cd 0.3464 0.0380 0.6474  3 Ag 2.92-3.02, 6 Au 2.93-3.04, 3 Cd 3.09
3 Cd 0.6536 0.9620 0.3526  3 Ag 2.92-3.02, 6 Au 2.93-3.04, 3 Cd 3.09
4 Cd 0.9620 0.6536 0.8526  3 Ag 2.92-3.02, 6 Au 2.93-3.04, 3 Cd 3.09
5 Ag 0.1747 0.8253 0.2500  6 Cd 2.92-3.02, 6 Au 2.98-3.15
6 Ag 0.8253 0.1747 0.7500  6 Cd 2.92-3.02, 6 Au 2.98-3.15
7 Au 0.2397 0.5555 0.5469  6 Cd 2.93-3.04, 3 Au 2.94-3.00, 3 Ag 2.98-3.15
8 Au 0.4445 0.7603 0.9531  6 Cd 2.93-3.04, 3 Au 2.94-3.00, 3 Ag 2.98-3.15
9 Au 0.5555 0.2397 0.0469  6 Cd 2.93-3.04, 3 Au 2.94-3.00, 3 Ag 2.98-3.15
10 Au 0.7603 0.4445 0.4531  6 Cd 2.93-3.04, 3 Au 2.94-3.00, 3 Ag 2.98-3.15

---

Material: SrCdOs2
Method: DFT, PBE
State: relaxed

Properties
Energy of formation in eV/atom: 0.63

Cell lengths 4.2185, 5.1980, 8.1198 Å; angles 90.00, 90.00, 90.00 degrees
Last column: nearest neighbours and their distance in Å.
Atoms (fractional coordinates):
1 Sr 0.0000 0.0000 0.0000  8 Os 3.08-3.39, 4 Cd 3.12-3.15
2 Sr 0.5000 0.5000 0.5000  8 Os 3.08-3.39, 4 Cd 3.12-3.15
3 Cd 0.0000 0.5000 0.2117  9 Os 3.07-3.42, 4 Sr 3.12-3.15
4 Cd 0.5000 0.0000 0.7117  9 Os 3.07-3.42, 4 Sr 3.12-3.15
5 Os 0.0000 0.0000 0.4362  2 Os 2.39
6 Os 0.0000 0.5000 0.7972  2 Os 2.39
7 Os 0.5000 0.0000 0.2972  2 Os 2.39
8 Os 0.5000 0.5000 0.9362  2 Os 2.39

---

Material: NdErCO
Method: DFT, PBE
State: relaxed

Properties
Formation energy (no corrections) in kJ/mol of formula units: -446.9

Cell lengths 3.1787, 3.3556, 12.1263 Å; angles 90.00, 90.00, 90.00 degrees
Last column: nearest neighbours and their distance in Å.
Atoms (fractional coordinates):
1 Nd 0.0000 0.0000 0.0000  2 C 2.57, 4 O 2.60
2 Nd 0.5000 0.5000 0.5000  2 C 2.57, 4 O 2.60
3 Er 0.0000 0.5000 0.2511  2 O 2.45, 4 C 2.55
4 Er 0.5000 0.0000 0.7511  2 O 2.45, 4 C 2.55
5 C 0.0000 0.5000 0.8393  4 Er 2.55, 2 Nd 2.57
6 C 0.5000 0.0000 0.3393  4 Er 2.55, 2 Nd 2.57
7 O 0.0000 0.0000 0.5974  2 Er 2.45, 4 Nd 2.60
8 O 0.5000 0.5000 0.0974  2 Er 2.45, 4 Nd 2.60

---

Material: EuSnPt
Method: DFT, PBE
State: relaxed

Properties
Energy of formation in eV/atom: -0.68

Cell lengths 3.5773, 3.5773, 11.2208 Å; angles 90.00, 90.00, 90.00 degrees
Last column: nearest neighbours and their distance in Å.
Atoms (fractional coordinates):
1 Eu 0.0000 0.0000 0.0000  5 Pt 3.27-3.55, 5 Sn 3.27-3.44, 4 Eu 3.58
2 Eu 0.5000 0.5000 0.5000  5 Pt 3.27-3.55, 5 Sn 3.27-3.44, 4 Eu 3.58
3 Sn 0.0000 0.0000 0.2919  4 Pt 2.80
4 Sn 0.5000 0.5000 0.7919  4 Pt 2.80
5 Pt 0.0000 0.0000 0.6841  4 Sn 2.80
6 Pt 0.5000 0.5000 0.1841  4 Sn 2.80

---

Material: PmSmSi
Method: DFT, PBE
State: relaxed

Properties
E above lowest polymorph in meV per atom: 208
Formation energy (no corrections) in kJ/mol of formula units: -82.5

Cell lengths 4.7091, 4.7091, 4.2546 Å; angles 90.00, 90.00, 120.00 degrees
Last column: nearest neighbours and their distance in Å.
Atoms (fractional coordinates):
1 Pm 0.0000 0.0000 0.0000  3 Si 3.03, 3 Sm 3.34
2 Sm 0.6667 0.3333 0.5426  3 Si 2.89
3 Si 0.3333 0.6667 0.3135  3 Sm 2.89, 3 Pm 3.03

---

Material: Tl2AgRu
Method: DFT, PBE
State: relaxed

Properties
E above lowest polymorph in meV per atom: 121
Energy of formation in eV/atom: 0.50

Cell lengths 3.3043, 3.3043, 7.9715 Å; angles 90.00, 90.00, 90.00 degrees
Last column: nearest neighbours and their distance in Å.
Atoms (fractional coordinates):
1 Tl 0.0000 0.0000 0.0000  4 Ru 2.83
2 Tl 0.5000 0.5000 0.3429  4 Ag 3.10, 4 Tl 3.30
3 Ag 0.0000 0.0000 0.5989  4 Ru 2.84, 4 Tl 3.10
4 Ru 0.5000 0.5000 0.8004  4 Tl 2.83, 4 Ag 2.84

---

Material: ErLuAlGa
Method: DFT, PBE
State: relaxed

Properties
Energy of formation in eV/atom: -0.47

Cell lengths 7.0814, 7.0814, 7.0814 Å; angles 90.00, 90.00, 90.00 degrees
Last column: nearest neighbours and their distance in Å.
Atoms (fractional coordinates):
1 Er 0.0000 0.0000 0.0000  4 Al 3.07, 4 Ga 3.07
2 Er 0.0000 0.5000 0.5000  4 Al 3.07, 4 Ga 3.07
3 Er 0.5000 0.0000 0.5000  4 Al 3.07, 4 Ga 3.07
4 Er 0.5000 0.5000 0.0000  4 Al 3.07, 4 Ga 3.07
5 Lu 0.0000 0.0000 0.5000  4 Ga 3.07, 4 Al 3.07
6 Lu 0.0000 0.5000 0.0000  4 Ga 3.07, 4 Al 3.07
7 Lu 0.5000 0.0000 0.0000  4 Ga 3.07, 4 Al 3.07
8 Lu 0.5000 0.5000 0.5000  4 Ga 3.07, 4 Al 3.07
9 Al 0.2500 0.2500 0.2500  4 Er 3.07, 4 Lu 3.07
10 Al 0.2500 0.7500 0.7500  4 Er 3.07, 4 Lu 3.07
11 Al 0.7500 0.2500 0.7500  4 Er 3.07, 4 Lu 3.07
12 Al 0.7500 0.7500 0.2500  4 Er 3.07, 4 Lu 3.07
13 Ga 0.2500 0.2500 0.7500  4 Er 3.07, 4 Lu 3.07
14 Ga 0.2500 0.7500 0.2500  4 Er 3.07, 4 Lu 3.07
15 Ga 0.7500 0.2500 0.2500  4 Er 3.07, 4 Lu 3.07
16 Ga 0.7500 0.7500 0.7500  4 Er 3.07, 4 Lu 3.07

---

Material: DyTmZnOs
Method: DFT, PBE
State: relaxed

Properties
Energy of formation in eV/atom: -0.31

Cell lengths 6.8924, 6.8924, 6.8924 Å; angles 90.00, 90.00, 90.00 degrees
Last column: nearest neighbours and their distance in Å.
Atoms (fractional coordinates):
1 Dy 0.0000 0.0000 0.0000  4 Os 2.98, 4 Zn 2.98
2 Dy 0.0000 0.5000 0.5000  4 Zn 2.98, 4 Os 2.98
3 Dy 0.5000 0.0000 0.5000  4 Zn 2.98, 4 Os 2.98
4 Dy 0.5000 0.5000 0.0000  4 Zn 2.98, 4 Os 2.98
5 Tm 0.0000 0.0000 0.5000  4 Os 2.98, 4 Zn 2.98
6 Tm 0.0000 0.5000 0.0000  4 Os 2.98, 4 Zn 2.98
7 Tm 0.5000 0.0000 0.0000  4 Os 2.98, 4 Zn 2.98
8 Tm 0.5000 0.5000 0.5000  4 Os 2.98, 4 Zn 2.98
9 Zn 0.2500 0.2500 0.2500  4 Dy 2.98, 4 Tm 2.98
10 Zn 0.2500 0.7500 0.7500  4 Dy 2.98, 4 Tm 2.98
11 Zn 0.7500 0.2500 0.7500  4 Dy 2.98, 4 Tm 2.98
12 Zn 0.7500 0.7500 0.2500  4 Dy 2.98, 4 Tm 2.98
13 Os 0.2500 0.2500 0.7500  4 Dy 2.98, 4 Tm 2.98
14 Os 0.2500 0.7500 0.2500  4 Dy 2.98, 4 Tm 2.98
15 Os 0.7500 0.2500 0.2500  4 Dy 2.98, 4 Tm 2.98
16 Os 0.7500 0.7500 0.7500  4 Tm 2.98, 4 Dy 2.98

---

Material: Ac2YAgS5
Method: DFT, PBE
State: relaxed

Properties
Formation energy (no corrections) in kJ/mol of formula units: -1565.3

Cell lengths 8.8595, 8.8595, 12.3731 Å; angles 90.00, 90.00, 152.96 degrees
Last column: nearest neighbours and their distance in Å.
Atoms (fractional coordinates):
1 Ac 0.1110 0.8890 0.5000  8 S 3.05-3.27
2 Ac 0.1265 0.8735 0.1218  8 S 3.01-3.19
3 Ac 0.8735 0.1265 0.6218  8 S 3.01-3.19
4 Ac 0.8890 0.1110 0.0000  8 S 3.05-3.27
5 Y 0.1952 0.8048 0.8221  6 S 2.65-2.82
6 Y 0.8048 0.1952 0.3221  6 S 2.65-2.82
7 Ag 0.4585 0.5415 0.2789  3 S 2.47-2.48
8 Ag 0.5415 0.4585 0.7789  3 S 2.47-2.48
9 S 0.0488 0.9512 0.8888  2 Ag 2.48, 1 Y 2.65
10 S 0.2885 0.7115 0.4748  2 Y 2.82, 3 Ac 3.07-3.12
11 S 0.3064 0.6936 0.1688  2 Y 2.81, 1 Ag 2.95
12 S 0.3553 0.6447 0.8161  1 Y 2.76
13 S 0.4980 0.5020 0.5884  1 Ag 2.47
14 S 0.5020 0.4980 0.0884  1 Ag 2.47
15 S 0.6447 0.3553 0.3161  1 Y 2.76
16 S 0.6936 0.3064 0.6688  2 Y 2.81, 1 Ag 2.95
17 S 0.7115 0.2885 0.9748  2 Y 2.82, 3 Ac 3.07-3.12
18 S 0.9512 0.0488 0.3888  2 Ag 2.48, 1 Y 2.65

---

Material: DyY2B6
Method: DFT, PBE
State: relaxed

Properties
Energy of formation in eV/atom: -0.57

Cell lengths 5.7006, 5.7006, 3.8813 Å; angles 90.00, 90.00, 120.00 degrees
Last column: nearest neighbours and their distance in Å.
Atoms (fractional coordinates):
1 Dy 0.0000 0.0000 0.0000  12 B 2.71
2 Y 0.3333 0.6667 0.0000  12 B 2.72
3 Y 0.6667 0.3333 0.0000  12 B 2.72
4 B 0.0000 0.3330 0.5000  3 B 1.90
5 B 0.0000 0.6670 0.5000  3 B 1.90
6 B 0.3330 0.0000 0.5000  3 B 1.90
7 B 0.3330 0.3330 0.5000  3 B 1.90
8 B 0.6670 0.0000 0.5000  3 B 1.90
9 B 0.6670 0.6670 0.5000  3 B 1.90

---

Material: SbIrOs2
Method: DFT, PBE
State: relaxed

Properties
Formation energy (no corrections) in kJ/mol of formula units: 316.8

Cell lengths 6.3941, 6.3941, 6.3941 Å; angles 90.00, 90.00, 90.00 degrees
Last column: nearest neighbours and their distance in Å.
Atoms (fractional coordinates):
1 Sb 0.0000 0.0000 0.0000  4 Os 2.77, 4 Ir 2.77
2 Sb 0.0000 0.5000 0.5000  4 Os 2.77, 4 Ir 2.77
3 Sb 0.5000 0.0000 0.5000  4 Os 2.77, 4 Ir 2.77
4 Sb 0.5000 0.5000 0.0000  4 Os 2.77, 4 Ir 2.77
5 Ir 0.2500 0.2500 0.7500  4 Sb 2.77, 4 Os 2.77
6 Ir 0.2500 0.7500 0.2500  4 Sb 2.77, 4 Os 2.77
7 Ir 0.7500 0.2500 0.2500  4 Sb 2.77, 4 Os 2.77
8 Ir 0.7500 0.7500 0.7500  4 Sb 2.77, 4 Os 2.77
9 Os 0.0000 0.0000 0.5000  4 Os 2.77, 4 Ir 2.77
10 Os 0.0000 0.5000 0.0000  4 Os 2.77, 4 Ir 2.77
11 Os 0.2500 0.2500 0.2500  4 Sb 2.77, 4 Os 2.77
12 Os 0.2500 0.7500 0.7500  4 Sb 2.77, 4 Os 2.77
13 Os 0.5000 0.0000 0.0000  4 Os 2.77, 4 Ir 2.77
14 Os 0.5000 0.5000 0.5000  4 Os 2.77, 4 Ir 2.77
15 Os 0.7500 0.2500 0.7500  4 Sb 2.77, 4 Os 2.77
16 Os 0.7500 0.7500 0.2500  4 Sb 2.77, 4 Os 2.77

---

Material: Cd3CoB
Method: DFT, PBE
State: relaxed

Properties
E above lowest polymorph in meV per atom: 0
Energy of formation in eV/atom: 0.87

Cell lengths 4.5093, 4.5093, 4.5093 Å; angles 90.00, 90.00, 90.00 degrees
Last column: nearest neighbours and their distance in Å.
Atoms (fractional coordinates):
1 Cd 0.0000 0.0000 0.5000  2 B 2.25
2 Cd 0.0000 0.5000 0.0000  2 B 2.25
3 Cd 0.5000 0.0000 0.0000  2 B 2.25
4 Co 0.5000 0.5000 0.5000  12 Cd 3.19
5 B 0.0000 0.0000 0.0000  6 Cd 2.25

---

Material: CrAs2P
Method: DFT, PBE
State: relaxed

Properties
Energy of formation in eV/atom: 0.40

Cell lengths 3.2223, 4.5500, 4.5639 Å; angles 90.00, 90.00, 90.00 degrees
Last column: nearest neighbours and their distance in Å.
Atoms (fractional coordinates):
1 Cr 0.0000 0.0000 0.0000  4 As 2.79, 4 P 2.79
2 As 0.0000 0.5000 0.5000  4 P 2.79, 4 As 2.79
3 As 0.5000 0.5000 0.0000  4 Cr 2.79, 4 As 2.79
4 P 0.5000 0.0000 0.5000  4 As 2.79, 4 Cr 2.79

---

Material: LaPm3Pb3
Method: DFT, PBE
State: relaxed

Properties
Energy of formation in eV/atom: -0.40

Cell lengths 8.5028, 8.5028, 8.5028 Å; angles 68.68, 68.68, 68.68 degrees
Last column: nearest neighbours and their distance in Å.
Atoms (fractional coordinates):
1 La 0.1666 0.1666 0.1666  6 Pb 3.37-3.44
2 La 0.8334 0.8334 0.8334  6 Pb 3.37-3.44
3 Pm 0.1239 0.4016 0.6975  5 Pb 3.18-3.37
4 Pm 0.3025 0.8761 0.5984  5 Pb 3.18-3.37
5 Pm 0.4016 0.6975 0.1239  5 Pb 3.18-3.37
6 Pm 0.5984 0.3025 0.8761  5 Pb 3.18-3.37
7 Pm 0.6975 0.1239 0.4016  5 Pb 3.18-3.37
8 Pm 0.8761 0.5984 0.3025  5 Pb 3.18-3.37
9 Pb 0.0558 0.7847 0.4274  5 Pm 3.18-3.37, 2 La 3.37-3.44
10 Pb 0.2153 0.5726 0.9442  5 Pm 3.18-3.37, 2 La 3.37-3.44
11 Pb 0.4274 0.0558 0.7847  5 Pm 3.18-3.37, 2 La 3.37-3.44
12 Pb 0.5726 0.9442 0.2153  5 Pm 3.18-3.37, 2 La 3.37-3.44
13 Pb 0.7847 0.4274 0.0558  5 Pm 3.18-3.37, 2 La 3.37-3.44
14 Pb 0.9442 0.2153 0.5726  5 Pm 3.18-3.37, 2 La 3.37-3.44

---

Material: La3GaP
Method: DFT, PBE
State: relaxed

Properties
E above lowest polymorph in meV per atom: 269
Energy of formation in eV/atom: -0.54

Cell lengths 5.7462, 5.7462, 5.7462 Å; angles 90.00, 90.00, 90.00 degrees
Last column: nearest neighbours and their distance in Å.
Atoms (fractional coordinates):
1 La 0.0000 0.0000 0.5000  2 P 2.87
2 La 0.0000 0.5000 0.0000  2 P 2.87
3 La 0.5000 0.0000 0.0000  2 P 2.87
4 Ga 0.5000 0.5000 0.5000  12 La 4.06
5 P 0.0000 0.0000 0.0000  6 La 2.87

---

Material: Y3HoMg8
Method: DFT, PBE
State: relaxed

Properties
Energy of formation in eV/atom: -0.09

Cell lengths 10.4163, 10.4163, 10.4163 Å; angles 33.79, 33.79, 33.79 degrees
Last column: nearest neighbours and their distance in Å.
Atoms (fractional coordinates):
1 Y 0.0000 0.0000 0.0000  12 Mg 3.54-3.55, 4 Y 3.68-3.71
2 Y 0.1251 0.1251 0.1251  12 Mg 3.52-3.55, 1 Y 3.68, 3 Ho 3.70
3 Y 0.6242 0.6242 0.6242  12 Mg 3.53-3.55, 1 Ho 3.66, 3 Y 3.71
4 Ho 0.4997 0.4997 0.4997  12 Mg 3.53-3.55, 4 Y 3.66-3.70
5 Mg 0.0622 0.0622 0.5623  6 Mg 3.01-3.03
6 Mg 0.0622 0.5623 0.0622  6 Mg 3.01-3.03
7 Mg 0.0623 0.5623 0.5623  6 Mg 3.01-3.03
8 Mg 0.3122 0.3122 0.3122  6 Mg 3.01
9 Mg 0.5623 0.0622 0.0622  6 Mg 3.01-3.03
10 Mg 0.5623 0.0623 0.5623  6 Mg 3.01-3.03
11 Mg 0.5623 0.5623 0.0623  6 Mg 3.01-3.03
12 Mg 0.8123 0.8123 0.8123  6 Mg 3.01

---

Calculated total magnetic moment, 13.78; 0.00; 1.12; 0.00; 0.00; 0.00; 0.00; 14.39; 0.00; 0.62; 0.00; 0.00; 0.00; 0.00; 7.60; 1.68; 3.43; 0.00; 0.00; 0.00 Bohr magnetons per cell (same order as the records).
Calculated energy, -7.19; -5.61; -4.60; -8.36; -2.39; -5.63; -7.04; -7.45; -5.25; -3.71; -4.43; -5.70; -6.04; -6.97; -8.04; -2.44; -5.68; -4.73; -5.19; -3.15 eV per atom (same order as the records).